1.
Below is a relaxed Sr2CuBiO6 crystal, with properties calculated at the PBE level.

Computed properties:
Total moment: 0.000 Bohr magnetons per cell
Crystal system: monoclinic
Formation energy without anion corrections: -16.15 eV per formula unit

Lattice parameters (Å, degrees): 6.389 6.389 5.136 111.99 111.99 51.13
Atoms (fractional coordinates):
1 Sr 0.243 0.243 0.207
2 Sr 0.757 0.757 0.793
3 Cu 0.000 0.000 0.500
4 Bi 0.500 0.500 0.000
5 O 0.161 0.698 0.214
6 O 0.302 0.839 0.786
7 O 0.305 0.305 0.727
8 O 0.695 0.695 0.273
9 O 0.698 0.161 0.214
10 O 0.839 0.302 0.786


2.
Below is a relaxed Sr2Cu3BiO6 crystal, with properties calculated at the PBE level.

Computed properties:
Total moment: 0.000 Bohr magnetons per cell
Crystal system: tetragonal
Formation energy without anion corrections: -16.73 eV per formula unit

Lattice parameters (Å, degrees): 3.848 3.848 11.862 90.00 90.00 90.00
Atoms (fractional coordinates):
1 Sr 0.000 0.000 0.196
2 Sr 0.000 0.000 0.804
3 Cu 0.500 0.500 0.000
4 Cu 0.500 0.500 0.347
5 Cu 0.500 0.500 0.653
6 Bi 0.000 0.000 0.500
7 O 0.000 0.500 0.365
8 O 0.000 0.500 0.635
9 O 0.500 0.000 0.365
10 O 0.500 0.000 0.635
11 O 0.500 0.500 0.153
12 O 0.500 0.500 0.847